The following is a DFT calculation (PBE) of a relaxed CsK2AuF crystal.

Its total moment is 0.0 μB per formula unit. The density of states at the Fermi level comes out at 1.865 states/eV/f.u. The relative energy among the computed polymorphs comes out at 0.0 meV per atom. The value obtained for the formation energy (no corrections) is -1.157 eV/atom. The total energy comes out at -13.98 eV/cell.

The space group is P4/mmm (No. 123) and the conventional cell measures 5.357, 5.357 and 5.969 Å, with angles of 90.00, 90.00 and 90.00 degrees. Symmetry generates all atoms from Cs at (0.000, 0.000, 0.000), K at (0.000, 0.500, 0.500), Au at (0.500, 0.500, 0.000) and F at (0.000, 0.000, 0.500).